Entry 1:
VASP calculation (PBE) on an optimized crystal structure of RhBr.

Unit cell a=4.7159 b=8.0106 c=9.5476 alpha=90.00 beta=90.00 gamma=90.00
Closest atoms and distances in Å follow each position.
Space group P2_12_12_1 (No. 19)
Asymmetric unit:
1 Rh 0.0497 0.2257 0.4457  2 Br 2.49-2.52, 4 Rh 2.61-2.78
2 Rh 0.0626 0.3667 0.6986  3 Br 2.47-2.54, 1 Rh 2.67
3 Br 0.2152 0.4959 0.9299  3 Rh 2.49-2.54
4 Br 0.2471 0.1144 0.8183  2 Rh 2.47-2.48

Summary:
**Formation energy (no corrections)**: 0.21 eV per atom

Entry 2:
VASP calculation (PBE) on an optimized crystal structure of RhBr.

Unit cell a=9.9451 b=9.9451 c=3.7954 alpha=90.00 beta=90.00 gamma=120.00
Closest atoms and distances in Å follow each position.
Space group P6_3/m (No. 176)
Asymmetric unit:
1 Rh 0.0201 0.4218 0.2500  3 Br 2.48-2.49, 2 Rh 2.61
2 Br 0.1770 0.4108 0.7500  3 Rh 2.48-2.49

Summary:
**Formation energy (no corrections)**: 0.30 eV per atom

Entry 3:
VASP calculation (PBE) on an optimized crystal structure of RhBr.

Unit cell a=3.3599 b=3.3599 c=11.2038 alpha=90.00 beta=90.00 gamma=120.00
Closest atoms and distances in Å follow each position.
Space group R-3m (No. 166, hexagonal axes)
Asymmetric unit:
1 Rh 0.0000 0.0000 0.0000  6 Br 2.69
2 Br 0.0000 0.0000 0.5000  6 Rh 2.69

Summary:
**Formation energy (no corrections)**: 0.50 eV per atom